[1]
# AcAsH (PBE, optimized geometry)
# D(E_F) = 0.740 states/eV/atom
# M_tot = 0.00 μB per cell
# Final energy = -4.708 eV per atom
# Crystal system = hexagonal
data_AcAsH
_chemical_formula_sum 'Ac1 As1 H1'
_space_group_name_H-M_alt 'P 1'
_space_group_IT_number 1
_space_group_name_Hall 'P 1'
_cell_length_a 4.144
_cell_length_b 4.144
_cell_length_c 4.629
_cell_angle_alpha 90.00
_cell_angle_beta 90.00
_cell_angle_gamma 120.00
loop_
_atom_site_label
_atom_site_type_symbol
_atom_site_fract_x
_atom_site_fract_y
_atom_site_fract_z
_atom_site_occupancy
Ac1 Ac 0.000 0.000 0.000 1
As1 As 0.333 0.667 0.500 1
H1 H 0.667 0.333 0.000 1

[2]
# AcAsH (PBE, optimized geometry)
# D(E_F) = 1.346 states/eV/atom
# M_tot = 0.02 μB per cell
# Final energy = -4.364 eV per atom
# Crystal system = cubic
data_AcAsH
_chemical_formula_sum 'Ac4 As4 H4'
_space_group_name_H-M_alt 'P 1'
_space_group_IT_number 1
_space_group_name_Hall 'P 1'
_cell_length_a 6.953
_cell_length_b 6.953
_cell_length_c 6.953
_cell_angle_alpha 90.00
_cell_angle_beta 90.00
_cell_angle_gamma 90.00
loop_
_atom_site_label
_atom_site_type_symbol
_atom_site_fract_x
_atom_site_fract_y
_atom_site_fract_z
_atom_site_occupancy
Ac1 Ac 0.000 0.000 0.000 1
Ac2 Ac 0.000 0.500 0.500 1
Ac3 Ac 0.500 0.000 0.500 1
Ac4 Ac 0.500 0.500 0.000 1
As1 As 0.250 0.250 0.750 1
As2 As 0.250 0.750 0.250 1
As3 As 0.750 0.250 0.250 1
As4 As 0.750 0.750 0.750 1
H1 H 0.250 0.250 0.250 1
H2 H 0.250 0.750 0.750 1
H3 H 0.750 0.250 0.750 1
H4 H 0.750 0.750 0.250 1

[3]
# Ac4As3H4 (PBE, optimized geometry)
# D(E_F) = 0.387 states/eV/atom
# M_tot = 0.00 μB per cell
# Final energy = -4.896 eV per atom
# Crystal system = cubic
data_Ac4As3H4
_chemical_formula_sum 'Ac4 As3 H4'
_space_group_name_H-M_alt 'P 1'
_space_group_IT_number 1
_space_group_name_Hall 'P 1'
_cell_length_a 6.725
_cell_length_b 6.725
_cell_length_c 6.725
_cell_angle_alpha 109.47
_cell_angle_beta 109.47
_cell_angle_gamma 109.47
loop_
_atom_site_label
_atom_site_type_symbol
_atom_site_fract_x
_atom_site_fract_y
_atom_site_fract_z
_atom_site_occupancy
Ac1 Ac 0.000 0.000 0.619 1
Ac2 Ac 0.000 0.619 0.000 1
Ac3 Ac 0.381 0.381 0.381 1
Ac4 Ac 0.619 0.000 0.000 1
As1 As 0.000 0.500 0.500 1
As2 As 0.500 0.000 0.500 1
As3 As 0.500 0.500 0.000 1
H1 H 0.000 0.000 0.238 1
H2 H 0.000 0.238 0.000 1
H3 H 0.238 0.000 0.000 1
H4 H 0.762 0.762 0.762 1

[4]
# AcAsH2 (PBE, optimized geometry)
# D(E_F) = 0.207 states/eV/atom
# M_tot = 0.00 μB per cell
# Final energy = -4.251 eV per atom
# Crystal system = cubic
data_AcAsH2
_chemical_formula_sum 'Ac4 As4 H8'
_space_group_name_H-M_alt 'P 1'
_space_group_IT_number 1
_space_group_name_Hall 'P 1'
_cell_length_a 6.327
_cell_length_b 6.327
_cell_length_c 6.327
_cell_angle_alpha 90.00
_cell_angle_beta 90.00
_cell_angle_gamma 90.00
loop_
_atom_site_label
_atom_site_type_symbol
_atom_site_fract_x
_atom_site_fract_y
_atom_site_fract_z
_atom_site_occupancy
Ac1 Ac 0.000 0.000 0.000 1
Ac2 Ac 0.000 0.500 0.500 1
Ac3 Ac 0.500 0.000 0.500 1
Ac4 Ac 0.500 0.500 0.000 1
As1 As 0.000 0.000 0.500 1
As2 As 0.000 0.500 0.000 1
As3 As 0.500 0.000 0.000 1
As4 As 0.500 0.500 0.500 1
H1 H 0.250 0.250 0.250 1
H2 H 0.250 0.250 0.750 1
H3 H 0.250 0.750 0.250 1
H4 H 0.250 0.750 0.750 1
H5 H 0.750 0.250 0.250 1
H6 H 0.750 0.250 0.750 1
H7 H 0.750 0.750 0.250 1
H8 H 0.750 0.750 0.750 1

[5]
# Ac2AsH3 (PBE, optimized geometry)
# M_tot = 0.00 μB per cell
# Final energy = -4.653 eV per atom
# Crystal system = monoclinic
data_Ac2AsH3
_chemical_formula_sum 'Ac4 As2 H6'
_space_group_name_H-M_alt 'P 1'
_space_group_IT_number 1
_space_group_name_Hall 'P 1'
_cell_length_a 8.249
_cell_length_b 8.249
_cell_length_c 7.666
_cell_angle_alpha 114.69
_cell_angle_beta 114.69
_cell_angle_gamma 29.34
loop_
_atom_site_label
_atom_site_type_symbol
_atom_site_fract_x
_atom_site_fract_y
_atom_site_fract_z
_atom_site_occupancy
Ac1 Ac 0.026 0.026 0.254 1
Ac2 Ac 0.289 0.289 0.288 1
Ac3 Ac 0.711 0.711 0.712 1
Ac4 Ac 0.974 0.974 0.746 1
As1 As 0.370 0.370 0.957 1
As2 As 0.630 0.630 0.043 1
H1 H 0.096 0.096 0.623 1
H2 H 0.195 0.195 0.484 1
H3 H 0.435 0.435 0.576 1
H4 H 0.565 0.565 0.424 1
H5 H 0.805 0.805 0.516 1
H6 H 0.904 0.904 0.377 1

[6]
# AcAsH (PBE, optimized geometry)
# D(E_F) = 0.357 states/eV/atom
# M_tot = 0.00 μB per cell
# Final energy = -4.544 eV per atom
# Crystal system = tetragonal
data_AcAsH
_chemical_formula_sum 'Ac2 As2 H2'
_space_group_name_H-M_alt 'P 1'
_space_group_IT_number 1
_space_group_name_Hall 'P 1'
_cell_length_a 4.352
_cell_length_b 4.352
_cell_length_c 7.661
_cell_angle_alpha 90.00
_cell_angle_beta 90.00
_cell_angle_gamma 90.00
loop_
_atom_site_label
_atom_site_type_symbol
_atom_site_fract_x
_atom_site_fract_y
_atom_site_fract_z
_atom_site_occupancy
Ac1 Ac 0.000 0.000 0.000 1
Ac2 Ac 0.500 0.500 0.500 1
As1 As 0.000 0.000 0.593 1
As2 As 0.500 0.500 0.093 1
H1 H 0.000 0.000 0.347 1
H2 H 0.500 0.500 0.847 1

- What is the final energy in the first record?
  -4.708 eV per atom